1.
GaCuReNi (GGA-PBE, relaxed); size of the total moment = 1.86 μB per formula unit
1.0
0.000 2.978 2.978
2.978 0.000 2.978
2.978 2.978 0.000
Cu Ga Ni Re
1 1 1 1
Cartesian
4.467 4.467 4.467
0.000 0.000 0.000
2.978 2.978 2.978
1.489 1.489 1.489


2.
GaCuReNi (GGA-PBE, relaxed); size of the total moment = 1.74 μB per formula unit
1.0
0.000 2.968 2.968
2.968 0.000 2.968
2.968 2.968 0.000
Cu Ga Ni Re
1 1 1 1
Cartesian
4.452 4.452 4.452
0.000 0.000 0.000
1.484 1.484 1.484
2.968 2.968 2.968


3.
ScGa2Cu4Ni (GGA-PBE, relaxed); size of the total moment = 0.00 μB per formula unit
1.0
-2.870 2.137 2.297
-2.801 -0.344 -3.180
-1.988 -5.150 2.308
Cu Ga Ni Sc
4 2 1 1
Cartesian
-1.971 -0.320 1.771
-1.937 -1.560 -0.968
-2.887 -2.693 2.834
-2.853 -3.934 0.096
0.000 0.000 0.000
-3.829 -1.678 0.712
-0.994 -2.575 1.154
-2.835 0.897 -0.441


4.
ScGaCuNi (GGA-PBE, relaxed); size of the total moment = 0.00 μB per formula unit
1.0
-1.467 -3.317 2.403
-4.279 -0.572 0.537
-2.003 -3.354 -1.914
Cu Ga Ni Sc
1 1 1 1
Cartesian
-1.937 -1.810 0.256
0.000 0.000 0.000
-3.874 -3.621 0.513
-5.812 -5.431 0.769


5.
ScGaCuNi (GGA-PBE, relaxed); size of the total moment = 0.00 μB per formula unit
1.0
0.000 3.056 3.056
3.056 0.000 3.056
3.056 3.056 0.000
Cu Ga Ni Sc
1 1 1 1
Cartesian
4.584 4.584 4.584
0.000 0.000 0.000
1.528 1.528 1.528
3.056 3.056 3.056


6.
ScGaCuNi (GGA-PBE, relaxed); size of the total moment = 0.00 μB per formula unit
1.0
0.000 3.066 3.066
3.066 0.000 3.066
3.066 3.066 0.000
Cu Ga Ni Sc
1 1 1 1
Cartesian
3.066 3.066 3.066
0.000 0.000 0.000
1.533 1.533 1.533
4.599 4.599 4.599


7.
Sc2Ga4CuNi (GGA-PBE, relaxed); size of the total moment = 0.00 μB per formula unit
1.0
-3.316 5.317 -1.400
-4.139 -1.901 2.586
-1.633 0.290 4.968
Cu Ga Ni Sc
1 4 1 2
Cartesian
-6.243 1.378 5.301
-3.095 0.984 2.351
-4.447 3.152 1.780
-4.312 0.033 4.506
-6.314 3.242 3.661
-1.183 -0.330 1.549
-2.109 2.532 -0.110
-5.333 -1.489 6.981


8.
ZrSc2Ga3Cu2Ni (GGA-PBE, relaxed); size of the total moment = 0.00 μB per formula unit
1.0
-3.422 -0.172 -1.094
-1.032 -5.407 4.081
-1.065 6.353 2.334
Cu Ga Ni Sc Zr
2 3 1 2 1
Cartesian
-2.755 -1.589 2.955
-2.765 2.364 2.368
-1.974 -1.456 0.491
-1.982 1.525 0.048
-3.272 0.619 4.226
-2.093 0.945 6.401
-0.617 -3.223 2.437
-0.636 3.789 1.396
-0.851 0.384 2.602


9.
Zr2ScGa3Cu2Ni (GGA-PBE, relaxed); size of the total moment = 0.01 μB per formula unit
1.0
-3.175 -2.208 -0.345
0.626 -1.881 6.269
-3.557 5.340 -1.436
Cu Ga Ni Sc Zr
2 3 1 1 2
Cartesian
-2.361 -0.569 3.515
-3.743 1.817 0.969
-1.845 -1.658 5.735
-3.798 1.506 3.473
-4.986 3.765 -0.051
-0.008 0.009 0.013
-1.194 1.410 1.969
-1.472 1.270 5.416
-3.184 4.225 2.262


10.
GaCuSiNi (GGA-PBE, relaxed); size of the total moment = 0.00 μB per formula unit
1.0
0.000 2.941 2.941
2.941 0.000 2.941
2.941 2.941 0.000
Cu Ga Ni Si
1 1 1 1
Cartesian
4.412 4.412 4.412
2.941 2.941 2.941
1.471 1.471 1.471
0.000 0.000 0.000


11.
SmGa2CuNi (GGA-PBE, relaxed); size of the total moment = 0.00 μB per formula unit
1.0
-1.353 3.897 0.185
-2.991 -0.910 -2.698
-6.129 -2.492 7.637
Cu Ga Ni Sm
2 4 2 2
Cartesian
-3.711 -1.356 1.411
-4.591 0.357 4.970
-2.234 -0.755 -0.428
-3.065 -1.246 3.818
-5.237 0.248 2.562
-6.067 -0.243 6.809
0.000 0.000 0.000
-2.172 1.493 -1.256
-2.152 1.349 1.931
-6.150 -2.347 4.449


12.
SrGaCuNi (GGA-PBE, relaxed); size of the total moment = 0.00 μB per formula unit
1.0
2.332 -4.677 2.446
2.804 -4.739 -1.725
5.263 -2.281 0.629
Cu Ga Ni Sr
1 1 1 1
Cartesian
1.992 -2.240 0.259
5.137 -5.779 0.667
8.451 -9.506 1.098
0.018 -0.020 0.002


13.
TaGaCuNi (GGA-PBE, relaxed); size of the total moment = 0.00 μB per formula unit
1.0
2.505 -0.973 3.344
2.763 2.905 1.527
-0.705 1.834 3.814
Cu Ga Ni Ta
1 1 1 1
Cartesian
3.422 2.824 6.513
0.000 0.000 0.000
2.282 1.883 4.342
1.141 0.941 2.171


14.
TaGaCuNi (GGA-PBE, relaxed); size of the total moment = 0.08 μB per formula unit
1.0
1.700 -3.592 1.575
-2.450 -3.458 0.560
0.508 -3.411 -2.526
Cu Ga Ni Ta
1 1 1 1
Cartesian
-0.121 -5.230 -0.195
0.000 0.000 0.000
-0.182 -7.846 -0.293
-0.061 -2.615 -0.098


15.
TaGaCuNi (GGA-PBE, relaxed); size of the total moment = 0.00 μB per formula unit
1.0
-0.055 0.758 4.192
-1.345 3.767 1.466
-3.716 0.278 2.066
Cu Ga Ni Ta
1 1 1 1
Cartesian
-3.837 3.603 5.794
0.000 0.000 0.000
-1.279 1.201 1.931
-2.558 2.402 3.862


16.
Tb2TmGa3CuNi2 (GGA-PBE, relaxed); size of the total moment = 0.00 μB per formula unit
1.0
3.720 0.000 0.000
0.000 6.157 3.558
0.000 -6.157 3.558
Cu Ga Ni Tb Tm
1 3 2 2 1
Cartesian
0.000 0.000 7.103
1.860 0.000 1.834
1.860 1.559 6.197
1.860 -1.559 6.197
1.860 2.029 3.562
1.860 -2.029 3.562
0.000 2.539 1.470
0.000 -2.539 1.470
0.000 0.000 4.188


17.
GaCuTcNi (GGA-PBE, relaxed); size of the total moment = 1.97 μB per formula unit
1.0
0.000 2.971 2.971
2.971 0.000 2.971
2.971 2.971 0.000
Cu Ga Ni Tc
1 1 1 1
Cartesian
4.456 4.456 4.456
0.000 0.000 0.000
1.485 1.485 1.485
2.971 2.971 2.971


18.
GaCuTcNi (GGA-PBE, relaxed); size of the total moment = 1.92 μB per formula unit
1.0
0.000 2.969 2.969
2.969 0.000 2.969
2.969 2.969 0.000
Cu Ga Ni Tc
1 1 1 1
Cartesian
4.453 4.453 4.453
0.000 0.000 0.000
2.969 2.969 2.969
1.484 1.484 1.484


19.
YTm2Ga3Cu2Ni (GGA-PBE, relaxed); size of the total moment = 0.00 μB per formula unit
1.0
3.972 0.000 0.000
0.000 5.978 3.442
0.000 -5.978 3.442
Cu Ga Ni Tm Y
2 3 1 2 1
Cartesian
1.986 2.026 3.449
1.986 -2.026 3.449
1.986 4.555 4.257
1.986 0.000 5.248
1.986 -4.555 4.257
0.000 0.000 6.855
0.000 3.532 2.038
0.000 -3.532 2.038
0.000 0.000 2.828


20.
Y2TmGa3Cu2Ni (GGA-PBE, relaxed); size of the total moment = 0.00 μB per formula unit
1.0
-0.985 1.800 3.423
-3.816 -5.488 1.787
6.682 0.279 1.776
Cu Ga Ni Tm Y
2 3 1 1 2
Cartesian
-0.773 -2.654 3.499
2.660 -0.768 3.496
0.185 -0.332 2.554
0.793 -4.372 4.853
3.273 -3.010 4.851
2.853 -5.187 3.548
1.697 -3.085 2.110
-1.562 -2.252 0.734
2.739 0.111 0.730


| no. | uncorrected energy (eV/cell) |
| --- | --- |
| 1 | -23.8 |
| 2 | -23.6 |
| 3 | -34.3 |
| 4 | -19.9 |
| 5 | -20.5 |
| 6 | -20.1 |
| 7 | -38.6 |
| 8 | -48.1 |
| 9 | -50.2 |
| 10 | -17.9 |
| 11 | -45.1 |
| 12 | -15.2 |
| 13 | -24.4 |
| 14 | -24.1 |
| 15 | -24.8 |
| 16 | -43.0 |
| 17 | -22.3 |
| 18 | -22.5 |
| 19 | -42.4 |
| 20 | -44.4 |